(1)
Computed, not measured: an optimized crystal structure of HfMo at the GGA-PBE level of DFT.

## Properties
The total magnetic moment comes out at 1.995 μB/f.u. The final energy comes out at -7.965 eV/atom. The energy relative to the elements comes out at 2.428 eV per atom. The value obtained for the distance to the lowest polymorph of the same formula is 58.46 kcal/mol of atoms.

Cell lengths 4.2613, 4.2613, 4.2613 Å; angles 60.00, 60.00, 60.00 degrees
With the nearest neighbours (Å) after each atom.
Element x y z (fractional)
Hf  0.0000  0.0000  0.0000  4 Mo 2.61
Mo  0.2500  0.2500  0.2500  4 Hf 2.61

(2)
Computed, not measured: an optimized crystal structure of Pu3In4Pd4 at the GGA-PBE level of DFT.

## Properties
The total magnetic moment comes out at 16.865 μB/f.u. The final energy comes out at -7.169 eV/atom. The energy relative to the elements comes out at -0.376 eV per atom.

Cell lengths 9.0408, 5.9843, 5.9843 Å; angles 47.79, 90.00, 90.00 degrees
With the nearest neighbours (Å) after each atom.
Element x y z (fractional)
Pu  0.0000  0.0000  0.0000  6 Pd 2.99-3.18, 2 Pu 3.03, 5 In 3.19-3.32
Pu  0.3066  0.1108  0.1108  4 Pd 3.01, 1 Pu 3.03, 3 In 3.26-3.35
Pu  0.6934  0.1108  0.1108  4 Pd 3.01, 1 Pu 3.03, 3 In 3.26-3.35
In  0.0000  0.2928  0.2928  4 Pd 2.74-2.83
In  0.2638  0.8064  0.8064  4 Pd 2.81-2.99
In  0.5000  0.3743  0.3743  3 Pd 2.69-2.90
In  0.7362  0.8064  0.8064  4 Pd 2.81-2.99
Pd  0.0000  0.6601  0.6601  4 In 2.83-2.87, 2 Pd 2.95, 2 Pu 2.99
Pd  0.2224  0.4628  0.4628  4 In 2.69-2.99, 1 Pd 2.95
Pd  0.5000  0.6396  0.6396  3 In 2.81-2.90, 4 Pu 3.01
Pd  0.7776  0.4628  0.4628  4 In 2.69-2.99, 1 Pd 2.95

(3)
Computed, not measured: an optimized crystal structure of Ho2Fe5Co5 at the GGA-PBE level of DFT.

## Properties
The total magnetic moment comes out at 18.906 μB/f.u. The final energy comes out at -7.384 eV/atom. The energy relative to the elements comes out at -0.134 eV per atom.

Cell lengths 3.9096, 5.0099, 8.6518 Å; angles 90.00, 90.00, 90.00 degrees
With the nearest neighbours (Å) after each atom.
Element x y z (fractional)
Ho  0.0000  0.0000  0.0000  6 Fe 2.87-2.89, 12 Co 3.17-3.18
Ho  0.0000  0.5000  0.5000  10 Fe 2.89-3.18, 8 Co 3.18
Fe  0.0000  0.0000  0.3314  4 Co 2.43, 2 Fe 2.44
Fe  0.0000  0.0000  0.6686  4 Co 2.43, 2 Fe 2.44
Fe  0.0000  0.5000  0.1661  6 Co 2.43
Fe  0.0000  0.5000  0.8339  6 Co 2.43
Fe  0.5000  0.0000  0.5000  4 Fe 2.44, 4 Co 2.50
Co  0.5000  0.2500  0.2496  5 Fe 2.43-2.50, 3 Co 2.50-2.51
Co  0.5000  0.2500  0.7504  5 Fe 2.43-2.50, 3 Co 2.50-2.51
Co  0.5000  0.5000  0.0000  4 Fe 2.43, 4 Co 2.50
Co  0.5000  0.7500  0.2496  5 Fe 2.43-2.50, 3 Co 2.50-2.51
Co  0.5000  0.7500  0.7504  5 Fe 2.43-2.50, 3 Co 2.50-2.51

(4)
Computed, not measured: an optimized crystal structure of Mg6Cd5Bi at the GGA-PBE level of DFT.

## Properties
The total magnetic moment comes out at 0.000 μB/f.u. The final energy comes out at -1.585 eV/atom. The energy relative to the elements comes out at -0.083 eV per atom.

Cell lengths 8.4713, 8.4713, 4.7521 Å; angles 105.68, 105.68, 113.35 degrees
With the nearest neighbours (Å) after each atom.
Element x y z (fractional)
Mg  0.0738  0.4128  0.7414  7 Cd 3.01-3.20, 1 Bi 3.18, 2 Mg 3.28-3.31
Mg  0.2326  0.2326  0.2293  6 Cd 3.01-3.24, 2 Bi 3.17-3.26, 2 Mg 3.37
Mg  0.4128  0.0738  0.7414  7 Cd 3.01-3.20, 1 Bi 3.18, 2 Mg 3.28-3.31
Mg  0.5872  0.9262  0.2586  7 Cd 3.01-3.20, 1 Bi 3.18, 2 Mg 3.28-3.31
Mg  0.7674  0.7674  0.7707  6 Cd 3.01-3.24, 2 Bi 3.17-3.26, 2 Mg 3.37
Mg  0.9262  0.5872  0.2586  7 Cd 3.01-3.20, 1 Bi 3.18, 2 Mg 3.28-3.31
Cd  0.0000  0.0000  0.5000  8 Mg 3.01-3.11, 4 Cd 3.37
Cd  0.1690  0.8310  0.0000  8 Mg 3.05-3.11, 4 Cd 3.29-3.37
Cd  0.3298  0.6702  0.5000  8 Mg 3.01-3.24, 2 Cd 3.29
Cd  0.6702  0.3298  0.5000  8 Mg 3.01-3.24, 2 Cd 3.29
Cd  0.8310  0.1690  0.0000  8 Mg 3.05-3.11, 4 Cd 3.29-3.37
Bi  0.5000  0.5000  0.0000  8 Mg 3.17-3.26, 4 Cd 3.38